(1)
Material: GaCoTe2I
Method: DFT, PBEsol
State: relaxed

The formation energy without anion corrections comes out at 0.2550 eV per atom. Its total energy is -3.724 eV per atom.

The space group is P4/mmm (No. 123) and the conventional cell measures 4.915, 4.915 and 5.534 Å, with angles of 90.00, 90.00 and 90.00 degrees. Symmetry generates all atoms from Ga at (0.000, 0.000, 0.000), Co at (0.500, 0.500, 0.500), Te at (0.000, 0.500, 0.500) and I at (0.500, 0.500, 0.000).



(2)
Material: ZnFeNi2
Method: DFT, PBEsol
State: relaxed

The formation energy from the elements comes out at -80 meV per atom. Its total energy is -5.795 eV per atom.

The space group is Cm (No. 8) and the conventional cell measures 8.383, 2.516 and 4.290 Å, with angles of 90.00, 100.56 and 90.00 degrees. Symmetry generates all atoms from Zn at (0.000, 0.000, 0.000), Fe at (0.243, 0.000, 0.712), Ni at (0.251, 0.500, 0.224) and Ni at (0.496, 0.000, 0.499).



(3)
Material: SrNdMn2O6
Method: DFT, PBEsol
State: relaxed

The formation energy without anion corrections comes out at -2.4811 eV per atom. Its total energy is -8.284 eV per atom.

The space group is I-42m (No. 121) and the conventional cell measures 5.340, 5.340 and 7.769 Å, with angles of 90.00, 90.00 and 90.00 degrees. Symmetry generates all atoms from Sr at (0.000, 0.000, 0.000), Nd at (0.000, 0.000, 0.500), Mn at (0.000, 0.500, 0.250), O at (0.000, 0.500, 0.000) and O at (0.206, 0.206, 0.260).



(4)
Material: BeCu2Mo
Method: DFT, PBEsol
State: relaxed

The formation energy from the elements comes out at 258 meV per atom. Its total energy is -5.851 eV per atom.

The space group is P4/mmm (No. 123) and the conventional cell measures 3.439, 3.439 and 3.973 Å, with angles of 90.00, 90.00 and 90.00 degrees. Symmetry generates all atoms from Be at (0.000, 0.000, 0.000), Cu at (0.000, 0.500, 0.500) and Mo at (0.500, 0.500, 0.000).



(5)
Material: Tb2SeO2
Method: DFT, PBEsol
State: relaxed

The formation energy without anion corrections comes out at -3.1669 eV per atom. Its total energy is -8.041 eV per atom.

The space group is P-3m1 (No. 164) and the conventional cell measures 3.8174, 3.8174 and 6.7715 Å, with angles of 90.00, 90.00 and 120.00 degrees. Symmetry generates all atoms from Tb at (0.3333, 0.6667, 0.2902), Se at (0.0000, 0.0000, 0.0000) and O at (0.3333, 0.6667, 0.6258).



(6)
Material: AlC3Se
Method: DFT, PBEsol
State: relaxed

The formation energy without anion corrections comes out at 2.4615 eV per atom. Its total energy is -4.913 eV per atom.

The space group is Pm-3m (No. 221) and the conventional cell measures 3.951, 3.951 and 3.951 Å, with angles of 90.00, 90.00 and 90.00 degrees. Symmetry generates all atoms from Al at (0.000, 0.000, 0.000), C at (0.000, 0.000, 0.500) and Se at (0.500, 0.500, 0.500).



Number 1: total magnetization 1.29 μB per cell. Number 2: total magnetization 6.45 μB per cell. Number 3: total magnetization 13.98 μB per cell. Number 4: total magnetization 0.00 μB per cell. Number 5: total magnetization 0.00 μB per cell. Number 6: total magnetization 0.00 μB per cell.